# Na2Mg3Tl3

A relaxed structure of Na2Mg3Tl3 (PBE, Alexandria).

Space group = P-62m
DFT formation energy = -0.011 eV/atom
Total DFT energy (no corrections) = -1.83 eV per atom

Cell: 8.479 8.479 3.464 Å, 90.00 90.00 120.00°
Positions (direct):
Na  0.333  0.667  0.000
Na  0.667  0.333  0.000
Mg  0.000  0.233  0.000
Mg  0.233  0.000  0.000
Mg  0.767  0.767  0.000
Tl  0.000  0.648  0.500
Tl  0.352  0.352  0.500
Tl  0.648  0.000  0.500